A relaxed structure of GeCN2, computed with GGA-PBE.

The structure in POSCAR format:
```
GeCN2
1.0
3.5844 0.0000 0.0000
-1.7922 3.1042 0.0000
0.0000 0.0000 14.7692
Ge C N
3 3 6
Direct
0.0000 0.0000 0.0000 Ge
0.3333 0.6667 0.6667 Ge
0.6667 0.3333 0.3333 Ge
0.0000 0.0000 0.5000 C
0.3333 0.6667 0.1667 C
0.6667 0.3333 0.8333 C
0.0000 0.0000 0.4160 N
0.0000 0.0000 0.5840 N
0.3333 0.6667 0.0827 N
0.3333 0.6667 0.2506 N
0.6667 0.3333 0.7494 N
0.6667 0.3333 0.9173 N
```

Computed properties:
- distance to the lowest polymorph of the same formula (meV per atom) = 53.7
- electronic total energy (eV/cell) = -87.47
- formation energy (no corrections) (eV/atom) = 0.334